First-principles (PBE-GGA) data for a relaxed structure of Ni5As2H2, as listed in Alexandria.

```
Ni5As2H2
1.0
3.931 0.000 0.000
-1.965 5.128 -0.601
0.000 -1.525 4.864
As Ni H
2 5 2
Cartesian
0.000 2.955 2.699
1.965 0.648 1.564
0.000 0.000 0.000
0.000 0.425 2.765
1.965 3.179 1.498
0.000 3.480 -0.045
1.965 0.124 4.308
1.965 3.394 -0.168
0.000 0.210 4.431
```

Results
As for the space group: C2/m, No. 12. The calculation puts the total energy at -5.0894 eV per atom.